Entry 1:
Below is a crystal of Au2Se4O11 relaxed with PBEsol, with properties calculated at the meta-GGA SCAN level.

Unit cell a=20.7813 b=4.1127 c=13.0032 alpha=90.00 beta=111.96 gamma=90.00
Closest atoms and distances in Å follow each position.
Space group C2/c (No. 15)
Inequivalent atoms, fractional coordinates:
Au 0.0000 0.0000 0.0000 [4 per cell]  4 O 1.98-2.00
Au 0.2500 0.2500 0.0000 [4 per cell]  4 O 1.98-2.01
Se 0.0753 0.2294 0.2502 [8 per cell]  2 O 1.65-1.77
Se 0.1608 0.2470 0.5820 [8 per cell]  3 O 1.75-1.76
O 0.0000 0.0138 0.7500 [4 per cell]  2 Se 1.86
O 0.0374 0.3571 0.1107 [8 per cell]  1 Se 1.77
O 0.0917 0.0325 0.4866 [8 per cell]  1 Se 1.75
O 0.1260 0.0767 0.7469 [8 per cell]  1 Se 1.65
O 0.1782 0.4092 0.4697 [8 per cell]  1 Se 1.76
O 0.2232 0.0612 0.1206 [8 per cell]  1 Se 1.75

Results
Total magnetization: 0.00 μB/cell
E_form (uncorrected): -10.81 eV/f.u.
Crystal system: monoclinic
DOS at the Fermi energy: 0.0000 states/eV per atom
Total DFT energy (no corrections): -1191.9 eV for the cell shown

***

Entry 2:
Below is a crystal of Ta2AuSeO relaxed with PBEsol, with properties calculated at the meta-GGA SCAN level.

Unit cell a=4.6977 b=4.6977 c=4.6643 alpha=90.00 beta=90.00 gamma=90.00
Closest atoms and distances in Å follow each position.
Space group P4/mmm (No. 123)
Inequivalent atoms, fractional coordinates:
Ta 0.0000 0.5000 0.0000 [2 per cell]  2 Se 2.35
Au 0.0000 0.0000 0.5000 [1 per cell]  2 Se 2.33
Se 0.0000 0.0000 0.0000 [1 per cell]  2 Au 2.33, 4 Ta 2.35
O 0.5000 0.5000 0.5000 [1 per cell]  8 Ta 3.31, 4 Au 3.32

Results
Total magnetization: 0.00 μB/cell
E_form (uncorrected): 8.01 eV/f.u.
Crystal system: tetragonal
DOS at the Fermi energy: 0.8761 states/eV per atom
Total DFT energy (no corrections): -220.6 eV for the cell shown

***

Entry 3:
Below is a crystal of Y2AuSeO relaxed with PBEsol, with properties calculated at the meta-GGA SCAN level.

Unit cell a=4.6269 b=4.6269 c=4.5341 alpha=90.00 beta=90.00 gamma=90.00
Closest atoms and distances in Å follow each position.
Space group P4/mmm (No. 123)
Inequivalent atoms, fractional coordinates:
Y 0.0000 0.5000 0.0000 [2 per cell]  2 O 2.31
Au 0.0000 0.0000 0.5000 [1 per cell]  2 O 2.27
Se 0.5000 0.5000 0.5000 [1 per cell]  8 Y 3.24, 4 Au 3.27
O 0.0000 0.0000 0.0000 [1 per cell]  2 Au 2.27, 4 Y 2.31

Results
Total magnetization: 0.00 μB/cell
E_form (uncorrected): -6.83 eV/f.u.
Crystal system: tetragonal
DOS at the Fermi energy: 0.6073 states/eV per atom
Total DFT energy (no corrections): -158.0 eV for the cell shown

***

Entry 4:
Below is a crystal of Sm4Au2O9 relaxed with PBEsol, with properties calculated at the meta-GGA SCAN level.

Unit cell a=11.7545 b=5.9995 c=11.7867 alpha=90.00 beta=90.00 gamma=90.00
Closest atoms and distances in Å follow each position.
Space group Pbcn (No. 60)
Inequivalent atoms, fractional coordinates:
Sm 0.0119 0.2418 0.0898 [8 per cell]  7 O 2.30-2.50
Sm 0.1590 0.1975 0.7643 [8 per cell]  7 O 2.30-2.55
Au 0.2280 0.4187 0.5106 [8 per cell]  4 O 1.98-2.04
O 0.0000 0.0240 0.2500 [4 per cell]  4 Sm 2.30
O 0.0756 0.3851 0.5889 [8 per cell]  1 Au 2.02
O 0.1149 0.0607 0.9457 [8 per cell]  1 Au 2.00
O 0.1629 0.4384 0.3510 [8 per cell]  1 Au 2.04
O 0.1970 0.1263 0.1589 [8 per cell]  1 Au 1.98

Results
Total magnetization: 0.00 μB/cell
E_form (uncorrected): -40.39 eV/f.u.
Crystal system: orthorhombic
DOS at the Fermi energy: 0.0000 states/eV per atom
Total DFT energy (no corrections): -1650.2 eV for the cell shown

***

Entry 5:
Below is a crystal of SrAu3O relaxed with PBEsol, with properties calculated at the meta-GGA SCAN level.

Unit cell a=5.7294 b=5.7294 c=5.7294 alpha=90.00 beta=90.00 gamma=90.00
Closest atoms and distances in Å follow each position.
Space group Pm-3m (No. 221)
Inequivalent atoms, fractional coordinates:
Sr 0.0000 0.0000 0.0000 [1 per cell]  6 Au 2.86
Au 0.0000 0.0000 0.5000 [3 per cell]  2 Sr 2.86
O 0.5000 0.5000 0.5000 [1 per cell]  12 Au 4.05

Results
Total magnetization: 3.01 μB/cell
E_form (uncorrected): 6.14 eV/f.u.
Crystal system: cubic
DOS at the Fermi energy: 1.2300 states/eV per atom
Total DFT energy (no corrections): -229.8 eV for the cell shown

***

Entry 6:
Below is a crystal of TaAu2O relaxed with PBEsol, with properties calculated at the meta-GGA SCAN level.

Unit cell a=6.2543 b=6.2543 c=6.2543 alpha=90.00 beta=90.00 gamma=90.00
Closest atoms and distances in Å follow each position.
Space group Fm-3m (No. 225)
Inequivalent atoms, fractional coordinates:
Ta 0.0000 0.0000 0.0000 [4 per cell]  8 Au 2.71
Au 0.2500 0.2500 0.2500 [8 per cell]  4 O 2.71, 4 Ta 2.71
O 0.0000 0.0000 0.5000 [4 per cell]  8 Au 2.71

Results
Total magnetization: 0.00 μB/cell
E_form (uncorrected): 1.29 eV/f.u.
Crystal system: cubic
DOS at the Fermi energy: 0.4737 states/eV per atom
Total DFT energy (no corrections): -839.4 eV for the cell shown

***

Copy entry 3 word for word.
Below is a crystal of Y2AuSeO relaxed with PBEsol, with properties calculated at the meta-GGA SCAN level.

Unit cell a=4.6269 b=4.6269 c=4.5341 alpha=90.00 beta=90.00 gamma=90.00
Closest atoms and distances in Å follow each position.
Space group P4/mmm (No. 123)
Inequivalent atoms, fractional coordinates:
Y 0.0000 0.5000 0.0000 [2 per cell]  2 O 2.31
Au 0.0000 0.0000 0.5000 [1 per cell]  2 O 2.27
Se 0.5000 0.5000 0.5000 [1 per cell]  8 Y 3.24, 4 Au 3.27
O 0.0000 0.0000 0.0000 [1 per cell]  2 Au 2.27, 4 Y 2.31

Results
Total magnetization: 0.00 μB/cell
E_form (uncorrected): -6.83 eV/f.u.
Crystal system: tetragonal
DOS at the Fermi energy: 0.6073 states/eV per atom
Total DFT energy (no corrections): -158.0 eV for the cell shown

***

Copy entry 4 word for word.
Below is a crystal of Sm4Au2O9 relaxed with PBEsol, with properties calculated at the meta-GGA SCAN level.

Unit cell a=11.7545 b=5.9995 c=11.7867 alpha=90.00 beta=90.00 gamma=90.00
Closest atoms and distances in Å follow each position.
Space group Pbcn (No. 60)
Inequivalent atoms, fractional coordinates:
Sm 0.0119 0.2418 0.0898 [8 per cell]  7 O 2.30-2.50
Sm 0.1590 0.1975 0.7643 [8 per cell]  7 O 2.30-2.55
Au 0.2280 0.4187 0.5106 [8 per cell]  4 O 1.98-2.04
O 0.0000 0.0240 0.2500 [4 per cell]  4 Sm 2.30
O 0.0756 0.3851 0.5889 [8 per cell]  1 Au 2.02
O 0.1149 0.0607 0.9457 [8 per cell]  1 Au 2.00
O 0.1629 0.4384 0.3510 [8 per cell]  1 Au 2.04
O 0.1970 0.1263 0.1589 [8 per cell]  1 Au 1.98

Results
Total magnetization: 0.00 μB/cell
E_form (uncorrected): -40.39 eV/f.u.
Crystal system: orthorhombic
DOS at the Fermi energy: 0.0000 states/eV per atom
Total DFT energy (no corrections): -1650.2 eV for the cell shown

***

Which value of DOS at the Fermi energy does entry 1 give? 0.0000 states/eV per atom